1.
Material: NpNb4Se8
Method: DFT, PBE
State: relaxed

Properties
crystal system	cubic
space-group type	No. 216
formation energy (no corrections)	-0.76	eV per atom

Cell: 7.6560 7.6560 7.6560 Å, 60.00 60.00 60.00°
Fractional coordinates of all 13 atoms:
Np: 0.0000 0.0000 0.0000
Nb: 0.1943 0.6019 0.6019
Nb: 0.6019 0.1943 0.6019
Nb: 0.6019 0.6019 0.1943
Nb: 0.6019 0.6019 0.6019
Se: 0.3677 0.3677 0.3677
Se: 0.3677 0.3677 0.8968
Se: 0.3677 0.8968 0.3677
Se: 0.4346 0.8551 0.8551
Se: 0.8551 0.4346 0.8551
Se: 0.8551 0.8551 0.4346
Se: 0.8551 0.8551 0.8551
Se: 0.8968 0.3677 0.3677

---

2.
Material: LaNdHf
Method: DFT, PBE
State: relaxed

Properties
crystal system	tetragonal
excess energy over the best structure of this formula in the dataset	0.0	meV/atom
space-group type	No. 129
ΔE_f	40	kJ/mol of formula units

Cell: 3.8297 3.8297 12.8998 Å, 90.00 90.00 90.00°
Fractional coordinates of all 6 atoms:
La: 0.2500 0.2500 0.1007
La: 0.7500 0.7500 0.8993
Nd: 0.2500 0.2500 0.7023
Nd: 0.7500 0.7500 0.2977
Hf: 0.2500 0.2500 0.4499
Hf: 0.7500 0.7500 0.5501

---

3.
Material: Y2GaRhS
Method: DFT, PBE
State: relaxed

Properties
crystal system	tetragonal
space-group type	No. 123
formation energy (no corrections)	-0.32	eV per atom

Cell: 5.1028 5.1028 4.5186 Å, 90.00 90.00 90.00°
Fractional coordinates of all 5 atoms:
Y: 0.0000 0.5000 0.0000
Y: 0.5000 0.0000 0.0000
Ga: 0.0000 0.0000 0.5000
Rh: 0.5000 0.5000 0.5000
S: 0.0000 0.0000 0.0000

---

4.
Material: CsGa3Bi3
Method: DFT, PBE
State: relaxed

Properties
crystal system	cubic
excess energy over the best structure of this formula in the dataset	0.0	meV/atom
space-group type	No. 223
ΔE_f	-59	kJ/mol of formula units

Cell: 8.0606 8.0606 8.0606 Å, 90.00 90.00 90.00°
Fractional coordinates of all 14 atoms:
Cs: 0.0000 0.0000 0.0000
Cs: 0.5000 0.5000 0.5000
Ga: 0.0000 0.2500 0.5000
Ga: 0.0000 0.7500 0.5000
Ga: 0.2500 0.5000 0.0000
Ga: 0.5000 0.0000 0.2500
Ga: 0.5000 0.0000 0.7500
Ga: 0.7500 0.5000 0.0000
Bi: 0.0000 0.5000 0.2500
Bi: 0.0000 0.5000 0.7500
Bi: 0.2500 0.0000 0.5000
Bi: 0.5000 0.2500 0.0000
Bi: 0.5000 0.7500 0.0000
Bi: 0.7500 0.0000 0.5000

---

5.
Material: NiMo2Ru
Method: DFT, PBE
State: relaxed

Properties
crystal system	orthorhombic
space-group type	No. 22
ΔE_f	33	kJ/mol of formula units

Cell: 4.6711 4.6676 3.8773 Å, 65.51 65.42 49.06°
Fractional coordinates of all 4 atoms:
Ni: 0.0000 0.0000 0.0000
Mo: 0.2500 0.2500 0.2500
Mo: 0.5000 0.5000 0.5000
Ru: 0.7500 0.7500 0.7500

---

6.
Material: InAgHg2Te4
Method: DFT, PBE
State: relaxed

Properties
crystal system	orthorhombic
space-group type	No. 42
formation energy (no corrections)	-0.23	eV per atom

Cell: 8.0583 8.0581 6.6025 Å, 65.82 65.81 48.37°
Fractional coordinates of all 8 atoms:
In: 0.0000 0.0000 0.0000
Ag: 0.5006 0.5006 0.4994
Hg: 0.2502 0.2502 0.2498
Hg: 0.7502 0.7502 0.7498
Te: 0.1316 0.6254 0.3746
Te: 0.3748 0.8694 0.6252
Te: 0.6254 0.1316 0.8684
Te: 0.8694 0.3748 0.1306

---

7.
Material: MgBi2
Method: DFT, PBE
State: relaxed

Properties
crystal system	orthorhombic
space-group type	No. 63
ΔE_f	-13	kJ/mol of formula units

Cell: 9.1091 9.1091 5.8785 Å, 90.00 90.00 158.93°
Fractional coordinates of all 6 atoms:
Mg: 0.0561 0.9439 0.7500
Mg: 0.9439 0.0561 0.2500
Bi: 0.2960 0.7040 0.2500
Bi: 0.4066 0.5934 0.7500
Bi: 0.5934 0.4066 0.2500
Bi: 0.7040 0.2960 0.7500

---

8.
Material: BaCoTcAg2
Method: DFT, PBE
State: relaxed

Properties
crystal system	tetragonal
space-group type	No. 123
ΔE_f	324	kJ/mol of formula units

Cell: 5.3103 5.3103 4.4455 Å, 90.00 90.00 90.00°
Fractional coordinates of all 5 atoms:
Ba: 0.0000 0.0000 0.0000
Co: 0.5000 0.5000 0.0000
Tc: 0.5000 0.5000 0.5000
Ag: 0.0000 0.5000 0.5000
Ag: 0.5000 0.0000 0.5000

---

9.
Material: RbIn2Cl6
Method: DFT, PBE
State: relaxed

Properties
crystal system	monoclinic
space-group type	No. 15
formation energy (no corrections)	-1.18	eV per atom

Cell: 10.0926 10.0926 8.3379 Å, 107.52 107.52 78.57°
Fractional coordinates of all 18 atoms:
Rb: 0.1273 0.8727 0.7500
Rb: 0.8727 0.1273 0.2500
In: 0.1878 0.3759 0.8092
In: 0.3759 0.1878 0.3092
In: 0.6241 0.8122 0.6908
In: 0.8122 0.6241 0.1908
Cl: 0.0303 0.1958 0.6772
Cl: 0.0466 0.6025 0.8353
Cl: 0.1958 0.0303 0.1772
Cl: 0.3375 0.3503 0.5973
Cl: 0.3503 0.3375 0.0973
Cl: 0.3975 0.9534 0.6647
Cl: 0.6025 0.0466 0.3353
Cl: 0.6497 0.6625 0.9027
Cl: 0.6625 0.6497 0.4027
Cl: 0.8042 0.9697 0.8228
Cl: 0.9534 0.3975 0.1647
Cl: 0.9697 0.8042 0.3228

---

10.
Material: YHfZr2H
Method: DFT, PBE
State: relaxed

Properties
crystal system	tetragonal
excess energy over the best structure of this formula in the dataset	16.8	meV/atom
space-group type	No. 123

Cell: 4.6388 4.6388 4.6177 Å, 90.00 90.00 90.00°
Fractional coordinates of all 5 atoms:
Y: 0.0000 0.0000 0.0000
Hf: 0.5000 0.5000 0.0000
Zr: 0.0000 0.5000 0.5000
Zr: 0.5000 0.0000 0.5000
H: 0.5000 0.5000 0.5000

---

11.
Material: DyYRh
Method: DFT, PBE
State: relaxed

Properties
crystal system	monoclinic
excess energy over the best structure of this formula in the dataset	70.8	meV/atom
space-group type	No. 11
ΔE_f	-164	kJ/mol of formula units

Cell: 5.5409 4.5974 6.4219 Å, 90.00 106.22 90.00°
Fractional coordinates of all 6 atoms:
Dy: 0.0285 0.2500 0.1916
Dy: 0.9715 0.7500 0.8084
Y: 0.4208 0.2500 0.7087
Y: 0.5792 0.7500 0.2913
Rh: 0.1499 0.7500 0.4361
Rh: 0.8501 0.2500 0.5639

---

12.
Material: BeZn4Si
Method: DFT, PBE
State: relaxed

Properties
crystal system	cubic
space-group type	No. 216
formation energy (no corrections)	0.43	eV per atom

Cell: 5.0341 5.0341 5.0341 Å, 60.00 60.00 60.00°
Fractional coordinates of all 6 atoms:
Be: 0.0000 0.0000 0.0000
Zn: 0.3747 0.3747 0.3747
Zn: 0.3747 0.3747 0.8759
Zn: 0.3747 0.8759 0.3747
Zn: 0.8759 0.3747 0.3747
Si: 0.7500 0.7500 0.7500

---

13.
Material: Ac4Pb
Method: DFT, PBE
State: relaxed

Properties
crystal system	orthorhombic
excess energy over the best structure of this formula in the dataset	0.0	meV/atom
space-group type	No. 43
ΔE_f	-53	kJ/mol of formula units

Cell: 9.3778 7.6053 10.9300 Å, 57.49 43.15 79.37°
Fractional coordinates of all 10 atoms:
Ac: 0.1341 0.8659 0.2555
Ac: 0.4450 0.5252 0.3382
Ac: 0.5055 0.9945 0.3841
Ac: 0.5252 0.4450 0.6916
Ac: 0.5584 0.9118 0.7248
Ac: 0.8659 0.1341 0.7445
Ac: 0.9118 0.5584 0.8050
Ac: 0.9945 0.5055 0.1159
Pb: 0.0725 0.0725 0.9275
Pb: 0.3225 0.3225 0.1775

---

14.
Material: Be4TlPt
Method: DFT, PBE
State: relaxed

Properties
crystal system	cubic
space-group type	No. 216
ΔE_f	27	kJ/mol of formula units

Cell: 4.6396 4.6396 4.6396 Å, 60.00 60.00 60.00°
Fractional coordinates of all 6 atoms:
Be: 0.3777 0.3777 0.3777
Be: 0.3777 0.3777 0.8670
Be: 0.3777 0.8670 0.3777
Be: 0.8670 0.3777 0.3777
Tl: 0.0000 0.0000 0.0000
Pt: 0.7500 0.7500 0.7500

---

15.
Material: Sc4H2Pb
Method: DFT, PBE
State: relaxed

Properties
crystal system	triclinic
space-group type	No. 1

Cell: 5.8510 6.6705 6.9630 Å, 74.83 72.70 78.96°
Fractional coordinates of all 14 atoms:
Sc: 0.0000 0.0000 0.0000
Sc: 0.0016 0.9915 0.5145
Sc: 0.2473 0.6076 0.2948
Sc: 0.2647 0.5964 0.7886
Sc: 0.4120 0.1884 0.1087
Sc: 0.4230 0.1890 0.5993
Sc: 0.8436 0.4065 0.1906
Sc: 0.8503 0.4179 0.6904
H: 0.0729 0.1394 0.7013
H: 0.0741 0.6615 0.5760
H: 0.1922 0.4681 0.0928
H: 0.4905 0.3471 0.2949
Pb: 0.6141 0.8022 0.9046
Pb: 0.6317 0.7998 0.3936

---

16.
Material: Nd3Ho7Tm2
Method: DFT, PBE
State: relaxed

Properties
crystal system	monoclinic
excess energy over the best structure of this formula in the dataset	0.0	meV/atom
space-group type	No. 10
ΔE_f	103	kJ/mol of formula units

Cell: 5.8120 3.5550 18.7374 Å, 90.00 93.02 90.00°
Fractional coordinates of all 12 atoms:
Nd: 0.0000 0.0000 0.0000
Nd: 0.2783 0.5000 0.6338
Nd: 0.7217 0.5000 0.3662
Ho: 0.1907 0.5000 0.1441
Ho: 0.2430 0.0000 0.4625
Ho: 0.3069 0.0000 0.8234
Ho: 0.5000 0.5000 0.0000
Ho: 0.6931 0.0000 0.1766
Ho: 0.7570 0.0000 0.5375
Ho: 0.8093 0.5000 0.8559
Tm: 0.2106 0.0000 0.2924
Tm: 0.7894 0.0000 0.7076

---

17.
Material: Pm5BiP4
Method: DFT, PBE
State: relaxed

Properties
crystal system	monoclinic
space-group type	No. 12
ΔE_f	-1352	kJ/mol of formula units

Cell: 7.3290 7.3290 10.4414 Å, 118.48 118.48 33.07°
Fractional coordinates of all 10 atoms:
Pm: 0.0000 0.0000 0.0000
Pm: 0.2068 0.2068 0.8164
Pm: 0.3896 0.3896 0.6138
Pm: 0.6104 0.6104 0.3862
Pm: 0.7932 0.7932 0.1836
Bi: 0.0000 0.0000 0.5000
P: 0.2025 0.2025 0.2942
P: 0.4025 0.4025 0.1005
P: 0.5975 0.5975 0.8995
P: 0.7975 0.7975 0.7058

---

18.
Material: RbNbCrW2
Method: DFT, PBE
State: relaxed

Properties
crystal system	tetragonal
space-group type	No. 123
ΔE_f	1612	kJ/mol of formula units

Cell: 4.7621 4.7621 4.3017 Å, 90.00 90.00 90.00°
Fractional coordinates of all 5 atoms:
Rb: 0.0000 0.0000 0.0000
Nb: 0.5000 0.5000 0.5000
Cr: 0.0000 0.0000 0.5000
W: 0.0000 0.5000 0.0000
W: 0.5000 0.0000 0.0000

---

19.
Material: Cu2Rh2Pb
Method: DFT, PBE
State: relaxed

Properties
crystal system	tetragonal
excess energy over the best structure of this formula in the dataset	33.9	meV/atom
space-group type	No. 127
ΔE_f	101	kJ/mol of formula units

Cell: 7.0553 7.0553 3.1350 Å, 90.00 90.00 90.00°
Fractional coordinates of all 10 atoms:
Cu: 0.1250 0.3750 0.0000
Cu: 0.3750 0.8750 0.0000
Cu: 0.6250 0.1250 0.0000
Cu: 0.8750 0.6250 0.0000
Rh: 0.1675 0.6675 0.5000
Rh: 0.3325 0.1675 0.5000
Rh: 0.6675 0.8325 0.5000
Rh: 0.8325 0.3325 0.5000
Pb: 0.0000 0.0000 0.0000
Pb: 0.5000 0.5000 0.0000

---

20.
Material: LiRh3Br
Method: DFT, PBE
State: relaxed

Properties
crystal system	cubic
excess energy over the best structure of this formula in the dataset	234.5	meV/atom
space-group type	No. 221
formation energy (no corrections)	1.02	eV per atom

Cell: 4.3014 4.3014 4.3014 Å, 90.00 90.00 90.00°
Fractional coordinates of all 5 atoms:
Li: 0.0000 0.0000 0.0000
Rh: 0.0000 0.0000 0.5000
Rh: 0.0000 0.5000 0.0000
Rh: 0.5000 0.0000 0.0000
Br: 0.5000 0.5000 0.5000

---

21.
Material: Nd4Ag3Hg
Method: DFT, PBE
State: relaxed

Properties
crystal system	orthorhombic
excess energy over the best structure of this formula in the dataset	23.6	meV/atom
space-group type	No. 25
ΔE_f	-222	kJ/mol of formula units

Cell: 3.8582 4.9306 11.6109 Å, 90.00 90.00 90.00°
Fractional coordinates of all 8 atoms:
Nd: 0.0000 0.0000 0.0000
Nd: 0.0000 0.5000 0.2823
Nd: 0.5000 0.0000 0.4903
Nd: 0.5000 0.5000 0.7883
Ag: 0.0000 0.5000 0.5596
Ag: 0.5000 0.0000 0.2159
Ag: 0.5000 0.5000 0.0658
Hg: 0.0000 0.0000 0.7196

---

22.
Material: Pm2Tm17
Method: DFT, PBE
State: relaxed

Properties
crystal system	trigonal
space-group type	No. 166
ΔE_f	516	kJ/mol of formula units

Cell: 8.6230 8.6230 8.6230 Å, 80.51 80.51 80.51°
Fractional coordinates of all 19 atoms:
Pm: 0.1715 0.1715 0.1715
Pm: 0.8285 0.8285 0.8285
Tm: 0.0000 0.5000 0.5000
Tm: 0.1365 0.1365 0.6475
Tm: 0.1365 0.6475 0.1365
Tm: 0.2009 0.5000 0.7991
Tm: 0.2009 0.7991 0.5000
Tm: 0.3525 0.8635 0.8635
Tm: 0.3994 0.3994 0.3994
Tm: 0.5000 0.0000 0.5000
Tm: 0.5000 0.2009 0.7991
Tm: 0.5000 0.5000 0.0000
Tm: 0.5000 0.7991 0.2009
Tm: 0.6006 0.6006 0.6006
Tm: 0.6475 0.1365 0.1365
Tm: 0.7991 0.2009 0.5000
Tm: 0.7991 0.5000 0.2009
Tm: 0.8635 0.3525 0.8635
Tm: 0.8635 0.8635 0.3525

---

23.
Material: Ta2Re2Si
Method: DFT, PBE
State: relaxed

Properties
crystal system	tetragonal
excess energy over the best structure of this formula in the dataset	322.9	meV/atom
space-group type	No. 139
formation energy (no corrections)	0.69	eV per atom

Cell: 6.2696 6.2696 6.2696 Å, 140.62 140.62 56.92°
Fractional coordinates of all 5 atoms:
Ta: 0.2500 0.7500 0.5000
Ta: 0.7500 0.2500 0.5000
Re: 0.1127 0.1127 0.0000
Re: 0.8873 0.8873 0.0000
Si: 0.5000 0.5000 0.0000

---

24.
Material: PmGdDyZr
Method: DFT, PBE
State: relaxed

Properties
crystal system	cubic
space-group type	No. 216
ΔE_f	79	kJ/mol of formula units

Cell: 5.5322 5.5322 5.5322 Å, 60.00 60.00 60.00°
Fractional coordinates of all 4 atoms:
Pm: 0.0000 0.0000 0.0000
Gd: 0.5000 0.5000 0.5000
Dy: 0.2500 0.2500 0.2500
Zr: 0.7500 0.7500 0.7500

---

Summary of total DFT energy (no corrections) in eV/atom
-7.002; -6.412; -5.809; -3.169; -9.094; -2.572; -3.162; -4.347; -3.124; -7.385; -6.705; -1.945; -4.139; -3.839; -5.495; -4.519; -6.328; -5.972; -5.110; -4.110; -3.778; -4.219; -10.116; -7.792
(order as listed above)